The following is a PBE calculation of a relaxed structure of TlWAu3Se4, from OQMD.

Lattice parameters (Å, degrees): 6.397 6.397 6.397 90.00 90.00 90.00
Positions (direct):
Tl (0.000, 0.000, 0.000)
W (0.500, 0.500, 0.500)
Au (0.000, 0.500, 0.500)
Au (0.500, 0.000, 0.500)
Au (0.500, 0.500, 0.000)
Se (0.279, 0.279, 0.279)
Se (0.279, 0.721, 0.721)
Se (0.721, 0.279, 0.721)
Se (0.721, 0.721, 0.279)

Properties
For the total moment, the calculation gives 0.170 μB/atom. The electronic total energy is -38.5 eV for the cell shown.